A | 5
Lattice="-0.7422 4.7766 0.0753 -4.7009 -0.7167 -0.8720 -0.8504 -0.2071 4.7546" Properties=species:S:1:pos:R:3 comment="Na3IrC (PBE-GGA, relaxed)" density_g_cm3=4.0 space_group="Pm-3m, No. 221" pbc="T T T"
Na -2.3504 -0.3583 -0.4360
Na -0.4252 -0.1036 2.3773
Na -0.3711 2.3883 0.0377
Ir -3.1467 1.9264 1.9790
C 0.0000 0.0000 0.0000

B | 5
Lattice="5.5643 0.0000 0.0000 0.0000 5.5643 0.0000 0.0000 0.0000 5.5643" Properties=species:S:1:pos:R:3 comment="Na3IrC (PBE-GGA, relaxed)" density_g_cm3=2.6 space_group="Pm-3m, No. 221" pbc="T T T"
Na 0.0000 2.7822 0.0000
Ir 0.0000 0.0000 0.0000
C 2.7822 2.7822 2.7822
Na 2.7822 0.0000 0.0000
Na 0.0000 0.0000 2.7822

Calculated relative energies: A 0; B 374, given in meV/atom

A | 5
Lattice="4.8388 0.0000 0.0000 0.0000 4.8388 0.0000 0.0000 0.0000 4.8388" Properties=species:S:1:pos:R:3 comment="Nb3IrC (PBE-GGA, relaxed)" density_g_cm3=7.1 space_group="Pm-3m, No. 221" pbc="T T T"
C 2.4194 2.4194 2.4194
Nb 2.4194 0.0000 0.0000
Nb 0.0000 0.0000 2.4194
Ir 0.0000 0.0000 0.0000
Nb 0.0000 2.4194 0.0000

B | 5
Lattice="4.2643 0.0000 0.0000 0.0000 4.2643 0.0000 0.0000 0.0000 4.2643" Properties=species:S:1:pos:R:3 comment="Nb3IrC (PBE-GGA, relaxed)" density_g_cm3=10.3 space_group="Pm-3m, No. 221" pbc="T T T"
Nb 0.0000 2.1321 0.0000
Ir 2.1321 2.1321 2.1321
C 0.0000 0.0000 0.0000
Nb 0.0000 0.0000 2.1321
Nb 2.1321 0.0000 0.0000

C | 20
Lattice="-3.9187 -2.3545 -2.6674 -3.1512 -2.0275 6.4191 -3.3208 7.0396 -1.3351" Properties=species:S:1:pos:R:3 comment="Nb3IrC (PBE-GGA, relaxed)" density_g_cm3=10.6 space_group="P2_1/c, No. 14" pbc="T T T"
C -6.2865 4.6896 -2.8322
Ir -5.9769 -1.9240 0.9584
C -4.5878 1.1928 -2.1386
Nb -5.9370 0.2127 -0.7299
Nb -4.2581 0.1626 5.3125
Nb -1.2266 -0.1592 0.9852
C -4.1043 -2.0321 5.2488
Nb -3.1095 -0.2061 -1.3008
Ir -3.9799 0.3249 1.2909
Nb -3.8285 -1.6969 3.1094
Ir -4.4139 4.5815 1.4582
Nb -9.1641 2.8167 1.4314
Nb -4.4537 2.4448 3.1464
Nb -6.1326 2.4950 -2.8959
Nb -6.5623 4.3545 -0.6928
Nb -4.1320 2.6126 -0.5298
Nb -7.2812 2.8636 3.7174
C -5.8029 1.4647 4.5552
Ir -6.4109 2.3327 1.1256
Nb -6.2588 0.0449 2.9464

Calculated relative energies: A 2581; B 146; C 0, given in meV/atom

A | 8
Lattice="-0.9807 -4.2872 1.5222 2.1879 -1.8097 -3.6874 4.8297 -3.1135 1.4568" Properties=species:S:1:pos:R:3 comment="NbIrC2 (PBE-GGA, relaxed)" density_g_cm3=9.6 space_group="I-42d, No. 122" pbc="T T T"
C 2.4740 -2.3503 -1.7839
Nb 0.6036 -3.0484 -1.0826
C 4.7271 -7.7100 -0.8837
Nb 3.8106 -3.9858 -1.6566
Ir 2.2263 -5.2246 0.9482
C 4.0265 -4.5813 0.3624
C 0.8463 -3.7791 0.8884
Ir 0.0000 0.0000 0.0000

B | 4
Lattice="-1.5424 -3.5396 -0.6238 -1.4368 -2.0628 2.9962 -3.8598 -0.5374 0.3319" Properties=species:S:1:pos:R:3 comment="NbIrC2 (PBE-GGA, relaxed)" density_g_cm3=12.1 space_group="Fm-3m, No. 225" pbc="T T T"
C -1.7097 -1.5349 0.6761
C -5.1292 -4.6048 2.0282
Nb 0.0000 0.0000 0.0000
Ir -3.4195 -3.0699 1.3521

Calculated relative energies: A 0; B 569, given in meV/atom

A | 8
Lattice="-2.5303 -0.0470 2.7262 -2.1246 -2.2969 -2.0116 2.9133 -4.9875 2.6180" Properties=species:S:1:pos:R:3 comment="NiIrC2 (PBE-GGA, relaxed)" density_g_cm3=10.4 space_group="I-4m2, No. 119" pbc="T T T"
Ir -0.3340 -2.3954 -0.3513
Ir 0.9198 -3.7641 3.3266
C 2.5785 -4.4143 2.3171
Ni 1.1226 -4.8891 0.9577
C 0.3348 -0.5732 0.3009
C -0.5360 -4.2389 1.9672
Ni -0.5368 -1.2704 2.0176
C -1.2056 -3.0925 1.3654

B | 8
Lattice="3.9862 0.0000 -0.0005 0.0000 2.7062 0.0000 -2.3282 0.0000 7.9673" Properties=species:S:1:pos:R:3 comment="NiIrC2 (PBE-GGA, relaxed)" density_g_cm3=10.6 space_group="Cm, No. 8" pbc="T T T"
C 1.4309 0.0000 4.5791
C 2.5950 1.3531 0.5955
C 1.4838 1.3531 7.8631
Ir 1.1439 0.0000 0.9248
Ir -0.0202 1.3531 4.9084
Ni 3.0055 1.3531 2.4827
C 2.6479 0.0000 3.8795
Ni 1.8414 0.0000 6.4664

C | 4
Lattice="4.2064 0.0000 0.0000 0.0000 2.7534 0.0000 0.0000 0.0000 3.7568" Properties=species:S:1:pos:R:3 comment="NiIrC2 (PBE-GGA, relaxed)" density_g_cm3=10.5 space_group="Pmm2, No. 25" pbc="T T T"
Ni 0.0000 1.3767 1.5389
Ir 2.1032 0.0000 2.8842
C 0.7055 1.3767 3.4630
C 3.5009 1.3767 3.4630

Calculated relative energies: A 0; B 39; C 130, given in meV/atom

A | 4
Lattice="3.8798 0.0000 -0.0053 0.0000 2.6873 0.0000 -0.9849 0.0000 4.1408" Properties=species:S:1:pos:R:3 comment="NiIrC2 (PBE-GGA, relaxed)" density_g_cm3=10.6 space_group="Pm, No. 6" pbc="T T T"
C 2.9970 1.3437 2.9746
Ir 3.3367 0.0000 1.4232
C 1.9922 1.3437 3.9810
Ni 0.5049 0.0000 3.7551

B | 4
Lattice="0.0000 2.6412 2.6412 2.6412 0.0000 2.6412 2.6412 2.6412 0.0000" Properties=species:S:1:pos:R:3 comment="NiIrC2 (PBE-GGA, relaxed)" density_g_cm3=12.4 space_group="Fm-3m, No. 225" pbc="T T T"
C 1.3206 1.3206 1.3206
C 3.9618 3.9618 3.9618
Ni 0.0000 0.0000 0.0000
Ir 2.6412 2.6412 2.6412

C | 12
Lattice="-0.9621 2.2767 2.0895 -2.1154 -1.2747 -2.0917 -3.1877 -9.7700 9.1776" Properties=species:S:1:pos:R:3 comment="NiIrC2 (PBE-GGA, relaxed)" density_g_cm3=11.0 space_group="R3m, No. 160" pbc="T T T"
C -0.9024 -2.7658 2.5981
C -4.7585 -9.3700 8.0185
C -1.2298 -3.7693 3.5407
C -3.3115 -4.9295 6.3530
C -3.6389 -5.9331 7.2957
Ni -4.1337 -7.4552 6.2197
Ir -2.0545 -1.0769 2.7339
Ir -3.5014 -5.5173 4.3994
C -1.8982 -0.6035 -0.2165
Ni -0.2776 -0.8509 0.7993
Ir -2.8330 -8.6831 8.1566
Ni -2.6867 -3.0147 4.5543

D | 4
Lattice="2.8255 -0.0031 0.0135 0.0089 3.7010 -0.0029 1.4094 0.0813 4.4846" Properties=species:S:1:pos:R:3 comment="NiIrC2 (PBE-GGA, relaxed)" density_g_cm3=9.7 space_group="P1, No. 1" pbc="T T T"
Ni 3.0588 2.1628 1.0750
C 0.2348 0.2816 0.3139
Ir 3.0627 0.9690 3.4917
C 3.0601 0.2326 1.7381

Calculated relative energies: A 0; B 921; C 75; D 219, given in meV/atom

A | 5
Lattice="-2.2150 1.9537 0.8097 -1.1474 -0.1252 -2.8367 -5.4928 -4.1383 0.7512" Properties=species:S:1:pos:R:3 comment="Ni2Ir2C (PBE-GGA, relaxed)" density_g_cm3=13.8 space_group="I4/mmm, No. 139" pbc="T T T"
Ni -4.6945 -0.6351 0.2738
Ir -2.4095 -0.0512 -0.6762
Ni -4.1607 -1.6746 -1.5495
C 0.0000 0.0000 0.0000
Ir -6.4456 -2.2585 -0.5995

B | 10
Lattice="-3.9982 2.1653 -2.9858 -1.4282 -4.9689 -1.6909 -2.6798 -0.3616 3.3261" Properties=species:S:1:pos:R:3 comment="Ni2Ir2C (PBE-GGA, relaxed)" density_g_cm3=13.5 space_group="P4/mbm, No. 127" pbc="T T T"
Ni -2.8937 -3.0991 0.0939
Ir -2.9214 0.6061 -2.2879
Ni -2.9413 -0.2022 0.3705
C 0.0000 0.0000 0.0000
Ir -2.5049 -3.4097 -2.3889
C -2.7132 -1.4018 -2.3384
Ni -5.2124 -0.0662 -1.4446
Ir -4.2754 -1.5318 -3.6112
Ni -5.1648 -2.9631 -1.7212
Ir -1.1509 -1.2718 -1.0656

Calculated relative energies: A 810; B 0, given in meV/atom

A | 5
Lattice="-0.8430 2.4189 -3.1273 -3.5973 -1.7960 -0.4195 -1.6405 2.6954 2.5270" Properties=species:S:1:pos:R:3 comment="NiIr3C (PBE-GGA, relaxed)" density_g_cm3=16.3 space_group="Pm-3m, No. 221" pbc="T T T"
Ir -0.8202 1.3477 1.2635
C 0.0000 0.0000 0.0000
Ir -0.4215 1.2095 -1.5637
Ni -3.0403 1.6591 -0.5099
Ir -1.7986 -0.8980 -0.2098

B | 5
Lattice="4.4374 0.0000 0.0000 0.0000 4.4374 0.0000 0.0000 0.0000 4.4374" Properties=species:S:1:pos:R:3 comment="NiIr3C (PBE-GGA, relaxed)" density_g_cm3=12.3 space_group="Pm-3m, No. 221" pbc="T T T"
C 2.2187 2.2187 2.2187
Ni 0.0000 0.0000 0.0000
Ir 0.0000 2.2187 0.0000
Ir 0.0000 0.0000 2.2187
Ir 2.2187 0.0000 0.0000

Calculated relative energies: A 0; B 2349, given in meV/atom

A | 5
Lattice="-1.8515 0.3363 -4.5821 -3.5396 0.0514 1.4340 0.1879 4.9416 0.2868" Properties=species:S:1:pos:R:3 comment="Y2NiIrC (PBE-GGA, relaxed)" density_g_cm3=7.8 space_group="P4/mmm, No. 123" pbc="T T T"
Ir -1.7698 0.0257 0.7170
Ni -2.6016 2.6646 -1.4307
Y 0.0939 2.4708 0.1434
Y -0.9258 0.1681 -2.2910
C 0.0000 0.0000 0.0000

B | 5
Lattice="4.9694 0.0000 0.0000 0.0000 4.9694 0.0000 0.0000 0.0000 3.5713" Properties=species:S:1:pos:R:3 comment="Y2NiIrC (PBE-GGA, relaxed)" density_g_cm3=8.3 space_group="P4/mmm, No. 123" pbc="T T T"
Y 0.0000 2.4847 0.0000
C 0.0000 0.0000 0.0000
Ni 0.0000 0.0000 1.7857
Ir 2.4847 2.4847 1.7857
Y 2.4847 0.0000 0.0000

Calculated relative energies: A 13; B 0, given in meV/atom

A | 5
Lattice="-1.3409 -3.3139 0.7400 1.7819 -1.3641 -2.8795 4.2265 -1.0185 3.0979" Properties=species:S:1:pos:R:3 comment="PIrCO2 (PBE-GGA, relaxed)" density_g_cm3=6.2 space_group="P4/mmm, No. 123" pbc="T T T"
O -0.6705 -1.6569 0.3700
Ir 0.0000 0.0000 0.0000
O 0.8909 -0.6820 -1.4398
C 2.3337 -2.8482 0.4792
P 2.1132 -0.5092 1.5489

B | 5
Lattice="-0.8951 -0.2574 -3.4423 -3.3649 -0.7284 0.9295 -0.8421 3.8065 -0.0657" Properties=species:S:1:pos:R:3 comment="PIrCO2 (PBE-GGA, relaxed)" density_g_cm3=8.9 space_group="P4/mmm, No. 123" pbc="T T T"
O -0.4476 -0.1287 -1.7211
C 0.0000 0.0000 0.0000
Ir -2.5511 1.4104 -1.2893
O -1.6824 -0.3642 0.4647
P -0.4211 1.9033 -0.0329

Calculated relative energies: A 0; B 227, given in meV/atom

A | 5
Lattice="-2.1180 -3.2320 1.1807 -0.6981 -0.9541 -3.8637 3.3693 -2.2293 -0.0583" Properties=species:S:1:pos:R:3 comment="IrOs3C (PBE-GGA, relaxed)" density_g_cm3=19.5 space_group="Pm-3m, No. 221" pbc="T T T"
Os 1.6847 -1.1147 -0.0291
Ir 0.2766 -3.2077 -1.3706
Os -0.3490 -0.4770 -1.9319
C 0.0000 0.0000 0.0000
Os -1.0590 -1.6160 0.5904

B | 5
Lattice="-1.1808 1.0424 -4.4294 0.7802 -4.4620 -1.2580 -4.4830 -1.0511 0.9477" Properties=species:S:1:pos:R:3 comment="IrOs3C (PBE-GGA, relaxed)" density_g_cm3=12.4 space_group="Pm-3m, No. 221" pbc="T T T"
Os 0.3901 -2.2310 -0.6290
Ir 0.0000 0.0000 0.0000
Os -2.2415 -0.5255 0.4739
Os -0.5904 0.5212 -2.2147
C -2.4418 -2.2354 -2.3698

Calculated relative energies: A 0; B 3121, given in meV/atom

A | 5
Lattice="-3.0282 -2.0557 -1.4973 0.4273 -2.7064 2.8515 -2.5071 2.0218 2.2946" Properties=species:S:1:pos:R:3 comment="IrOsC3 (PBE-GGA, relaxed)" density_g_cm3=11.2 space_group="Pm-3m, No. 221" pbc="T T T"
C 0.2136 -1.3532 1.4257
Ir -2.5540 -1.3701 1.8244
C -1.5141 -1.0278 -0.7487
Os 0.0000 0.0000 0.0000
C -1.2535 1.0109 1.1473

B | 5
Lattice="-3.3297 -1.1078 1.7937 -1.3057 -1.5491 -3.3804 1.6553 -3.4503 0.9418" Properties=species:S:1:pos:R:3 comment="IrOsC3 (PBE-GGA, relaxed)" density_g_cm3=11.4 space_group="Pm-3m, No. 221" pbc="T T T"
C -0.6528 -0.7745 -1.6902
Ir 0.0000 0.0000 0.0000
C -1.6648 -0.5539 0.8969
C 0.8277 -1.7252 0.4709
Os -1.4900 -3.0536 -0.3225

Calculated relative energies: A 0; B 352, given in meV/atom